(1)
The following is a DFT calculation (PBE) of NiMoAu after structural relaxation.

Computed properties:
- DFT formation energy: 0.1489 eV/atom
- ΔE to the lowest computed polymorph: 0.071 eV/atom

Cell lengths 4.3843, 4.3843, 2.6563 Å; angles 90.00, 90.00, 120.00 degrees
Closest atoms and distances in Å follow each position.
Space group P3m1 (No. 156)
Asymmetric unit:
Ni1 0.0000 0.0000 0.0000  3 Au 2.53, 2 Ni 2.66
Mo1 0.3333 0.6667 0.4982  2 Mo 2.66, 6 Ni 2.86, 6 Au 2.86
Au1 0.6667 0.3333 0.9977  3 Ni 2.53, 2 Au 2.66

(2)
The following is a DFT calculation (PBE) of NiMoAu after structural relaxation.

Computed properties:
- DFT formation energy: 0.6394 eV/atom
- ΔE to the lowest computed polymorph: 0.561 eV/atom

Cell lengths 6.3805, 9.2671, 13.2717 Å; angles 90.00, 90.00, 90.00 degrees
Closest atoms and distances in Å follow each position.
Space group Fddd (No. 70, origin choice 2)
Asymmetric unit:
Ni1 0.0571 0.3750 0.3750  1 Ni 2.32, 2 Mo 2.37, 2 Au 2.51
Mo1 0.0000 0.0000 0.5000  2 Ni 2.37
Au1 0.1250 0.1250 0.3110  4 Ni 2.51-2.73, 2 Mo 2.78

(3)
The following is a DFT calculation (PBE) of NiMoAu2 after structural relaxation.

Computed properties:
- DFT formation energy: 0.3871 eV/atom
- ΔE to the lowest computed polymorph: 0.317 eV/atom

Cell lengths 4.8219, 4.8219, 2.7747 Å; angles 90.00, 90.00, 90.00 degrees
Closest atoms and distances in Å follow each position.
Space group P4/mmm (No. 123)
Asymmetric unit:
Ni1 0.0000 0.0000 0.0000  2 Ni 2.77, 8 Au 2.78
Mo1 0.5000 0.5000 0.0000  2 Mo 2.77, 8 Au 2.78
Au1 0.0000 0.5000 0.5000  2 Au 2.77, 4 Mo 2.78, 4 Ni 2.78

(4)
The following is a DFT calculation (PBE) of NiMoAu2 after structural relaxation.

Computed properties:
- DFT formation energy: 0.2690 eV/atom
- ΔE to the lowest computed polymorph: 0.199 eV/atom

Cell lengths 2.7749, 4.7112, 9.7610 Å; angles 90.00, 90.00, 90.00 degrees
Closest atoms and distances in Å follow each position.
Space group Imm2 (No. 44)
Asymmetric unit:
Ni1 0.0000 0.0000 0.0000  2 Mo 2.47, 6 Au 2.66-2.74
Mo1 0.0000 0.5000 0.2912  2 Ni 2.47
Au1 0.0000 0.0000 0.5171  4 Ni 2.74, 2 Au 2.77, 2 Mo 3.01
Au2 0.0000 0.5000 0.7329  2 Ni 2.66, 2 Au 2.77, 4 Mo 2.79

(5)
The following is a DFT calculation (PBE) of NiMoAu2 after structural relaxation.

Computed properties:
- DFT formation energy: 0.3680 eV/atom
- ΔE to the lowest computed polymorph: 0.298 eV/atom

Cell lengths 2.8379, 4.6957, 9.4549 Å; angles 90.00, 90.00, 90.00 degrees
Closest atoms and distances in Å follow each position.
Space group Immm (No. 71)
Asymmetric unit:
Ni1 0.0000 0.0000 0.0000  4 Au 2.60, 4 Mo 2.74, 2 Ni 2.84
Mo1 0.0000 0.0000 0.5000  4 Ni 2.74, 2 Mo 2.84, 4 Au 2.91
Au1 0.0000 0.5000 0.2693  2 Ni 2.60, 6 Au 2.77-2.84

(6)
The following is a DFT calculation (PBE) of NiMoAu2 after structural relaxation.

Computed properties:
- DFT formation energy: 0.0700 eV/atom
- ΔE to the lowest computed polymorph: 0.000 eV/atom

Cell lengths 2.7990, 2.7990, 7.9812 Å; angles 90.00, 90.00, 90.00 degrees
Closest atoms and distances in Å follow each position.
Space group P4mm (No. 99)
Asymmetric unit:
Ni1 0.0000 0.0000 0.0000  4 Mo 2.58, 4 Au 2.74, 4 Ni 2.80
Mo1 0.5000 0.5000 0.7922  4 Ni 2.58, 4 Mo 2.80
Au1 0.0000 0.0000 0.5247  8 Au 2.80-3.03, 4 Mo 2.91
Au2 0.5000 0.5000 0.2379  4 Ni 2.74, 8 Au 2.80-3.03

(7)
The following is a DFT calculation (PBE) of NiMoAu2 after structural relaxation.

Computed properties:
- DFT formation energy: 0.3359 eV/atom
- ΔE to the lowest computed polymorph: 0.266 eV/atom

Cell lengths 5.5199, 8.3283, 2.7508 Å; angles 90.00, 90.00, 90.00 degrees
Closest atoms and distances in Å follow each position.
Space group Cmmm (No. 65)
Asymmetric unit:
Ni1 0.0000 0.0000 0.0000  2 Ni 2.75, 2 Mo 2.76, 8 Au 2.85
Mo1 0.0000 0.5000 0.0000  2 Mo 2.75, 2 Ni 2.76, 8 Au 2.85
Au1 0.2500 0.2500 0.5000  4 Au 2.75-2.76, 4 Mo 2.85, 4 Ni 2.85

(8)
The following is a DFT calculation (PBE) of NiMoAu2 after structural relaxation.

Computed properties:
- DFT formation energy: 0.2954 eV/atom
- ΔE to the lowest computed polymorph: 0.225 eV/atom

Cell lengths 9.3023, 2.7678, 4.9399 Å; angles 90.00, 99.06, 90.00 degrees
Closest atoms and distances in Å follow each position.
Space group C2/m (No. 12)
Asymmetric unit:
Ni1 0.0000 0.0000 0.0000  2 Ni 2.77, 6 Au 2.80-2.81, 4 Mo 2.83
Mo1 0.0000 0.5000 0.5000  2 Mo 2.77, 6 Au 2.79-2.84, 4 Ni 2.83
Au1 0.2482 0.5000 0.2467  6 Au 2.77-2.85, 3 Mo 2.79-2.84, 3 Ni 2.80-2.81

Q: The highest ΔE to the lowest computed polymorph belongs to which entry?
A: number 2